# 1
Below is a relaxed BaLiRu crystal, with properties calculated at the PBE level.

a b c (Å): 12.8241 4.2818 6.7193
angles (deg): 90.00 111.88 90.00
With the nearest neighbours (Å) after each atom.
Space group Cm (No. 8)
One atom of each set of equivalent atoms:
Ba 0.0000 0.0000 0.0000 x2  1 Li 3.20, 3 Ru 3.43-3.54
Ba 0.1580 0.5000 0.6307 x2  3 Ru 3.13-3.50, 2 Li 3.41
Li 0.3135 0.0000 0.4575 x2  1 Ru 2.52, 2 Li 2.62
Li 0.4142 0.5000 0.3906 x2  1 Ru 2.41, 2 Li 2.62
Ru 0.2245 0.5000 0.1289 x2  2 Ru 2.38, 1 Li 2.41
Ru 0.2869 0.0000 0.0665 x2  2 Ru 2.38, 1 Li 2.52

Values from the calculation:
Theoretical density: 4.759 g cm⁻³
Formation energy from the elements: 253 meV per atom
Fermi-level density of states: 0.766 states/eV/atom
Total DFT energy (no corrections): -4.118 eV per atom
Energy relative to the lowest polymorph listed for this composition: 54.3 meV/atom

# 2
Below is a relaxed BaLiRu crystal, with properties calculated at the PBE level.

a b c (Å): 5.0536 4.3532 8.9433
angles (deg): 90.00 96.59 90.00
With the nearest neighbours (Å) after each atom.
Space group P2_1/m (No. 11)
One atom of each set of equivalent atoms:
Ba 0.2162 0.2500 0.2964 x2  1 Ru 2.99
Li 0.3728 0.2500 0.9034 x2  4 Ru 2.60-2.80
Ru 0.0987 0.7500 0.0073 x2  2 Ru 2.39, 1 Li 2.60

Values from the calculation:
Theoretical density: 4.169 g cm⁻³
Formation energy from the elements: 207 meV per atom
Fermi-level density of states: 0.690 states/eV/atom
Total DFT energy (no corrections): -4.164 eV per atom
Energy relative to the lowest polymorph listed for this composition: 8.3 meV/atom

# 3
Below is a relaxed BaLiRu crystal, with properties calculated at the PBE level.

a b c (Å): 6.8692 6.8692 6.8692
angles (deg): 90.00 90.00 90.00
With the nearest neighbours (Å) after each atom.
Space group F-43m (No. 216)
One atom of each set of equivalent atoms:
Ba 0.0000 0.0000 0.0000 x4  4 Ru 2.97
Li 0.0000 0.0000 0.5000 x4  4 Ru 2.97
Ru 0.2500 0.2500 0.2500 x4  4 Ba 2.97, 4 Li 2.97

Values from the calculation:
Theoretical density: 5.027 g cm⁻³
Formation energy from the elements: 747 meV per atom
Fermi-level density of states: 1.998 states/eV/atom
Total DFT energy (no corrections): -3.624 eV per atom
Energy relative to the lowest polymorph listed for this composition: 548.4 meV/atom

# 4
Below is a relaxed BaLiRu2 crystal, with properties calculated at the PBE level.

a b c (Å): 3.2504 3.2504 8.1620
angles (deg): 90.00 90.00 90.00
With the nearest neighbours (Å) after each atom.
Space group P4mm (No. 99)
One atom of each set of equivalent atoms:
Ba 0.0000 0.0000 0.0000 x1  4 Ba 3.25, 5 Ru 3.42-3.60
Li 0.5000 0.5000 0.3602 x1  5 Ru 2.69-2.81
Ru 0.0000 0.0000 0.5592 x1  4 Ru 2.53, 4 Li 2.81
Ru 0.5000 0.5000 0.6893 x1  4 Ru 2.53, 1 Li 2.69

Values from the calculation:
Theoretical density: 6.671 g cm⁻³
Formation energy from the elements: 464 meV per atom
Fermi-level density of states: 1.011 states/eV/atom
Total DFT energy (no corrections): -5.133 eV per atom
Energy relative to the lowest polymorph listed for this composition: 215.0 meV/atom

# 5
Below is a relaxed Ba3LiRu crystal, with properties calculated at the PBE level.

a b c (Å): 6.0125 6.0125 6.0125
angles (deg): 90.00 90.00 90.00
With the nearest neighbours (Å) after each atom.
Space group Pm-3m (No. 221)
One atom of each set of equivalent atoms:
Ba 0.0000 0.0000 0.5000 x3  2 Ru 3.01
Li 0.5000 0.5000 0.5000 x1  12 Ba 4.25
Ru 0.0000 0.0000 0.0000 x1  6 Ba 3.01

Values from the calculation:
Theoretical density: 3.973 g cm⁻³
Formation energy from the elements: 231 meV per atom
Fermi-level density of states: 1.955 states/eV/atom
Total DFT energy (no corrections): -3.161 eV per atom
Energy relative to the lowest polymorph listed for this composition: 0.0 meV/atom

# 6
Below is a relaxed BaLiRu2 crystal, with properties calculated at the PBE level.

a b c (Å): 2.9797 2.9797 29.8985
angles (deg): 90.00 90.00 120.00
With the nearest neighbours (Å) after each atom.
Space group R-3m (No. 166, hexagonal axes)
One atom of each set of equivalent atoms:
Ba 0.0000 0.0000 0.0000 x3  6 Ba 2.98, 6 Ru 3.29
Li 0.0000 0.0000 0.5000 x3  6 Ru 2.77, 6 Li 2.98
Ru 0.0000 0.0000 0.2394 x6  3 Li 2.77, 6 Ru 2.98

Values from the calculation:
Theoretical density: 7.506 g cm⁻³
Formation energy from the elements: 1056 meV per atom
Fermi-level density of states: 1.236 states/eV/atom
Total DFT energy (no corrections): -4.541 eV per atom
Energy relative to the lowest polymorph listed for this composition: 807.6 meV/atom

What did the third record say?
Below is a relaxed BaLiRu crystal, with properties calculated at the PBE level.

a b c (Å): 6.8692 6.8692 6.8692
angles (deg): 90.00 90.00 90.00
With the nearest neighbours (Å) after each atom.
Space group F-43m (No. 216)
One atom of each set of equivalent atoms:
Ba 0.0000 0.0000 0.0000 x4  4 Ru 2.97
Li 0.0000 0.0000 0.5000 x4  4 Ru 2.97
Ru 0.2500 0.2500 0.2500 x4  4 Ba 2.97, 4 Li 2.97

Values from the calculation:
Theoretical density: 5.027 g cm⁻³
Formation energy from the elements: 747 meV per atom
Fermi-level density of states: 1.998 states/eV/atom
Total DFT energy (no corrections): -3.624 eV per atom
Energy relative to the lowest polymorph listed for this composition: 548.4 meV/atom

Q: Which value of theoretical density does entry 2 give?
A: 4.169 g cm⁻³